# 1
Compound: PuMnGaNi
Source: the Alexandria database
Functional: PBE-GGA
Structure: optimized geometry

## Properties
* energy: -8.224 eV per atom
* density: 11.224 Mg/m³
* ΔH_f (0 K): -146.5 meV/atom
* symmetry: No. 216

a = 4.472 Å, b = 4.472 Å, c = 4.472 Å
α = 60.00°, β = 60.00°, γ = 60.00°
Sites, in units of the cell vectors:
Pu  0.000  0.000  0.000
Mn  0.750  0.750  0.750
Ga  0.500  0.500  0.500
Ni  0.250  0.250  0.250

# 2
Compound: MnGa2NiSb
Source: the Alexandria database
Functional: PBE-GGA
Structure: optimized geometry

## Properties
* energy: -4.495 eV per atom
* density: 6.174 Mg/m³
* uncorrected formation energy: 0.53 eV per atom
* symmetry: No. 123

a = 4.598 Å, b = 4.598 Å, c = 4.768 Å
α = 90.00°, β = 90.00°, γ = 90.00°
Sites, in units of the cell vectors:
Mn  0.000  0.000  0.000
Ga  0.000  0.500  0.500
Ga  0.500  0.000  0.500
Ni  0.000  0.000  0.500
Sb  0.500  0.500  0.000

# 3
Compound: Sc2Mn2GaNi5
Source: the Alexandria database
Functional: PBE-GGA
Structure: optimized geometry

## Properties
* energy: -6.523 eV per atom
* density: 6.736 Mg/m³
* ΔH_f (0 K): -229.7 meV/atom
* symmetry: No. 127

a = 8.699 Å, b = 8.699 Å, c = 3.668 Å
α = 90.00°, β = 90.00°, γ = 90.00°
Sites, in units of the cell vectors:
Sc  0.177  0.323  0.000
Sc  0.323  0.823  0.000
Sc  0.677  0.177  0.000
Sc  0.823  0.677  0.000
Mn  0.121  0.621  0.000
Mn  0.379  0.121  0.000
Mn  0.621  0.879  0.000
Mn  0.879  0.379  0.000
Ga  0.000  0.000  0.000
Ga  0.500  0.500  0.000
Ni  0.000  0.500  0.500
Ni  0.064  0.795  0.500
Ni  0.205  0.064  0.500
Ni  0.295  0.564  0.500
Ni  0.436  0.295  0.500
Ni  0.500  0.000  0.500
Ni  0.564  0.705  0.500
Ni  0.705  0.436  0.500
Ni  0.795  0.936  0.500
Ni  0.936  0.205  0.500

# 4
Compound: Sm2MnGa2Ni5
Source: the Alexandria database
Functional: PBE-GGA
Structure: optimized geometry

## Properties
* energy: -5.605 eV per atom
* density: 8.251 Mg/m³
* ΔH_f (0 K): -247.7 meV/atom
* symmetry: No. 127

a = 9.644 Å, b = 9.644 Å, c = 3.413 Å
α = 90.00°, β = 90.00°, γ = 90.00°
Sites, in units of the cell vectors:
Sm  0.177  0.323  0.000
Sm  0.323  0.823  0.000
Sm  0.677  0.177  0.000
Sm  0.823  0.677  0.000
Mn  0.000  0.000  0.000
Mn  0.500  0.500  0.000
Ga  0.122  0.622  0.000
Ga  0.378  0.122  0.000
Ga  0.622  0.878  0.000
Ga  0.878  0.378  0.000
Ni  0.000  0.500  0.500
Ni  0.055  0.803  0.500
Ni  0.197  0.055  0.500
Ni  0.303  0.555  0.500
Ni  0.445  0.303  0.500
Ni  0.500  0.000  0.500
Ni  0.555  0.697  0.500
Ni  0.697  0.445  0.500
Ni  0.803  0.945  0.500
Ni  0.945  0.197  0.500

# 5
Compound: SrMnGaNi2
Source: the Alexandria database
Functional: PBE-GGA
Structure: optimized geometry

## Properties
* energy: -4.286 eV per atom
* density: 4.842 Mg/m³
* ΔH_f (0 K): 802.1 meV/atom
* symmetry: No. 123

a = 4.534 Å, b = 4.534 Å, c = 5.500 Å
α = 90.00°, β = 90.00°, γ = 90.00°
Sites, in units of the cell vectors:
Sr  0.000  0.000  0.000
Mn  0.500  0.500  0.000
Ga  0.000  0.000  0.500
Ni  0.000  0.500  0.500
Ni  0.500  0.000  0.500

# 6
Compound: TaMnGaNi
Source: the Alexandria database
Functional: PBE-GGA
Structure: optimized geometry

## Properties
* energy: -7.642 eV per atom
* density: 11.241 Mg/m³
* ΔH_f (0 K): -184.1 meV/atom
* symmetry: No. 216

a = 4.238 Å, b = 4.238 Å, c = 4.238 Å
α = 60.00°, β = 60.00°, γ = 60.00°
Sites, in units of the cell vectors:
Ta  0.000  0.000  0.000
Mn  0.750  0.750  0.750
Ga  0.500  0.500  0.500
Ni  0.250  0.250  0.250

# 7
Compound: Tb2MnGa3Ni4
Source: the Alexandria database
Functional: PBE-GGA
Structure: optimized geometry

## Properties
* energy: -5.530 eV per atom
* density: 8.331 Mg/m³
* ΔH_f (0 K): -466.3 meV/atom
* symmetry: No. 115

a = 3.908 Å, b = 3.908 Å, c = 10.662 Å
α = 90.00°, β = 90.00°, γ = 90.00°
Sites, in units of the cell vectors:
Tb  0.000  0.500  0.246
Tb  0.500  0.000  0.754
Mn  0.500  0.500  0.000
Ga  0.000  0.000  0.000
Ga  0.000  0.500  0.631
Ga  0.500  0.000  0.369
Ni  0.000  0.000  0.500
Ni  0.000  0.500  0.858
Ni  0.500  0.000  0.142
Ni  0.500  0.500  0.500

# 8
Compound: Tb2MnGa2Ni5
Source: the Alexandria database
Functional: PBE-GGA
Structure: optimized geometry

## Properties
* energy: -5.636 eV per atom
* density: 8.642 Mg/m³
* ΔH_f (0 K): -296.6 meV/atom
* symmetry: No. 127

a = 9.526 Å, b = 9.526 Å, c = 3.412 Å
α = 90.00°, β = 90.00°, γ = 90.00°
Sites, in units of the cell vectors:
Tb  0.176  0.324  0.000
Tb  0.324  0.824  0.000
Tb  0.676  0.176  0.000
Tb  0.824  0.676  0.000
Mn  0.000  0.000  0.000
Mn  0.500  0.500  0.000
Ga  0.123  0.623  0.000
Ga  0.377  0.123  0.000
Ga  0.623  0.877  0.000
Ga  0.877  0.377  0.000
Ni  0.000  0.500  0.500
Ni  0.056  0.802  0.500
Ni  0.198  0.056  0.500
Ni  0.302  0.556  0.500
Ni  0.444  0.302  0.500
Ni  0.500  0.000  0.500
Ni  0.556  0.698  0.500
Ni  0.698  0.444  0.500
Ni  0.802  0.944  0.500
Ni  0.944  0.198  0.500